Compound: ZrAsPb2
Source: the Alexandria database
Functional: PBE-GGA
Structure: optimized geometry

```
ZrAsPb2
1.0
1.652 0.954 10.764
-1.652 0.954 10.764
0.000 -1.908 10.764
Zr As Pb
1 1 2
Cartesian
0.000 0.000 0.000
0.000 0.000 16.147
0.000 0.000 8.089
0.000 0.000 24.204
```

Results
The magnetization comes out at 0.000 μB/atom.

---

Compound: Zr3AsPb
Source: the Alexandria database
Functional: PBE-GGA
Structure: optimized geometry

```
Zr3AsPb
1.0
5.042 0.000 0.000
0.000 5.042 0.000
0.000 0.000 5.042
Zr As Pb
3 1 1
Cartesian
0.000 0.000 2.521
0.000 2.521 0.000
2.521 0.000 0.000
0.000 0.000 0.000
2.521 2.521 2.521
```

Results
Its energy above the most stable polymorph in this dataset is 0.000 eV/atom. The magnetization comes out at 0.000 μB/atom.

---

Compound: Zr2As2Pb
Source: the Alexandria database
Functional: PBE-GGA
Structure: optimized geometry

```
Zr2As2Pb
1.0
-1.936 1.936 7.289
1.936 -1.936 7.289
1.936 1.936 -7.289
Zr As Pb
2 2 1
Cartesian
0.000 0.000 1.628
0.000 0.000 12.950
1.936 0.000 3.644
0.000 1.936 3.644
0.000 0.000 7.289
```

Results
Its energy above the most stable polymorph in this dataset is 0.136 eV/atom. The magnetization comes out at 0.012 μB/atom.

---

Compound: Zr3AsPb
Source: the Alexandria database
Functional: PBE-GGA
Structure: optimized geometry

```
Zr3AsPb
1.0
5.355 0.000 0.000
0.000 5.355 0.000
0.000 0.000 5.355
Zr As Pb
3 1 1
Cartesian
0.000 0.000 2.677
0.000 2.677 0.000
2.677 0.000 0.000
2.677 2.677 2.677
0.000 0.000 0.000
```

Results
Its energy above the most stable polymorph in this dataset is 1.220 eV/atom. The magnetization comes out at 0.000 μB/atom.

---

Compound: ZrAsPb3
Source: the Alexandria database
Functional: PBE-GGA
Structure: optimized geometry

```
ZrAsPb3
1.0
5.660 0.000 0.000
0.000 5.660 0.000
0.000 0.000 5.660
Zr As Pb
1 1 3
Cartesian
0.000 0.000 0.000
2.830 2.830 2.830
0.000 0.000 2.830
0.000 2.830 0.000
2.830 0.000 0.000
```

Results
Its energy above the most stable polymorph in this dataset is 0.000 eV/atom. The magnetization comes out at 0.000 μB/atom.

---

Compound: ZrAsPb
Source: the Alexandria database
Functional: PBE-GGA
Structure: optimized geometry

```
ZrAsPb
1.0
-1.583 1.583 7.524
1.583 -1.583 7.524
1.583 1.583 -7.524
Zr As Pb
1 1 1
Cartesian
0.000 0.000 0.000
0.000 0.000 9.356
0.000 0.000 5.008
```

Results
Its energy above the most stable polymorph in this dataset is 0.355 eV/atom. The magnetization comes out at 0.001 μB/atom.

---

no.,energy (eV for the cell shown),ΔE_f (eV per atom)
1,-19.6,0.2553
2,-34.3,-0.0630
3,-32.5,-0.4765
4,-28.2,1.1567
5,-20.8,0.6978
6,-17.3,-0.1449